First-principles (GGA-PBE) data for an optimized crystal structure of SrY3Ir, as listed in Alexandria via LeMat-Bulk.

a = 21.1528 Å, b = 3.7575 Å, c = 8.3186 Å
α = 90.00°, β = 91.42°, γ = 90.00°
Last column: nearest neighbours and their distance in Å.
Space group C2/m (No. 12)
Unique sites:
Sr  0.2051  0.0000  0.3262 [4 per cell]  6 Y 3.69-3.90, 4 Sr 3.76-3.90
Y  0.0332  0.0000  0.1849 [4 per cell]  4 Ir 2.87-3.04
Y  0.0808  0.5000  0.5800 [4 per cell]  1 Ir 2.78
Y  0.1607  0.0000  0.8941 [4 per cell]  2 Ir 2.79
Ir  0.0635  0.5000  0.9096 [4 per cell]  7 Y 2.78-3.04

Properties
relative energy among the computed polymorphs	0.096	eV per atom
E_form	-0.275	eV/atom
calculated density	5.5	Mg/m³
E	-6.262	eV per atom